A relaxed CaV6O23 crystal, computed with GGA+U.

## Properties
The calculation puts the calculated density at 2.67 g/cm3. The volume is 443.7 Å³/cell. Its final energy is -6.684 eV per atom. The density of states at the Fermi level comes out at 6.65 states/eV per cell. As for the space-group type: Pm (6).

The structure in POSCAR format:
```
CaV6O23
1.0
-1.280 -3.316 -0.876
-0.694 -2.279 9.644
-11.585 3.723 2.835
Ca V O
1 6 23
Direct
0.500 0.724 0.341 Ca
0.500 0.941 0.803 V
0.000 0.058 0.183 V
0.500 0.109 0.553 V
0.000 0.919 0.446 V
0.500 0.861 0.065 V
0.000 0.131 0.925 V
0.500 0.521 0.733 O
0.000 0.438 0.322 O
0.500 0.967 0.446 O
0.000 0.049 0.542 O
0.500 0.806 0.942 O
0.000 0.187 0.056 O
0.500 0.425 0.113 O
0.000 0.511 0.805 O
0.500 0.717 0.164 O
0.000 0.275 0.835 O
0.500 0.111 0.691 O
0.000 0.874 0.311 O
0.500 0.494 0.643 O
0.000 0.542 0.365 O
0.500 0.269 0.488 O
0.000 0.756 0.512 O
0.500 0.002 0.171 O
0.000 0.984 0.829 O
0.500 0.835 0.722 O
0.000 0.145 0.279 O
0.500 0.074 0.936 O
0.000 0.915 0.065 O
0.500 0.480 0.015 O
```